Density functional theory data (PBE) for a relaxed structure of Sr2LiCa.

Cell and atoms, written as POSCAR:
```
Sr2LiCa
1.0
-3.202 -1.363 6.444
-0.089 -4.391 5.861
3.075 2.156 5.224
Ca Li Sr
1 1 2
direct
0.750 0.750 0.750
0.250 0.250 0.250
0.973 0.973 0.027
0.527 0.527 0.473
```

Calculated values
Crystal system: monoclinic
Energy: -7.02 eV per cell
Energy relative to the lowest polymorph listed for this composition: 19 kJ/mol of formula units
Space group: C2/m, No. 12
Magnetic moment: 0.00 μB/f.u.
E_form: 6 kJ per mole of atoms


Density functional theory data (PBE) for a relaxed structure of LiSmMg2.

Cell and atoms, written as POSCAR:
```
LiSmMg2
1.0
3.489 0.000 0.000
0.000 5.496 0.000
0.000 0.000 5.496
Mg Li Sm
2 1 1
direct
0.000 0.000 0.500
0.000 0.500 0.000
0.500 0.000 0.000
0.500 0.500 0.500
```

Calculated values
Crystal system: tetragonal
Energy: -9.74 eV per cell
Energy relative to the lowest polymorph listed for this composition: 28 kJ/mol of formula units
Space group: P4/mmm, No. 123
Magnetic moment: 0.00 μB/f.u.
E_form: 2 kJ per mole of atoms


Density functional theory data (PBE) for a relaxed structure of NdTmGePd.

Cell and atoms, written as POSCAR:
```
NdTmGePd
1.0
-4.997 0.280 -0.808
-3.226 -0.497 3.878
-2.614 4.016 1.653
Tm Pd Ge Nd
1 1 1 1
direct
0.500 0.500 0.500
0.750 0.750 0.750
0.250 0.250 0.250
0.000 0.000 0.000
```

Calculated values
Crystal system: cubic
Energy: -22.08 eV per cell
Energy relative to the lowest polymorph listed for this composition: 34 kJ/mol of formula units
Space group: F-43m, No. 216
Magnetic moment: 0.00 μB/f.u.
E_form: -73 kJ per mole of atoms


Density functional theory data (PBE) for a relaxed structure of SrSeO4.

Cell and atoms, written as POSCAR:
```
SrSeO4
1.0
4.995 0.000 0.000
-2.497 5.876 0.143
0.000 -1.792 5.036
O Se Sr
8 2 2
direct
0.846 0.619 0.820
0.257 0.791 0.581
0.466 0.209 0.919
0.743 0.209 0.419
0.773 0.619 0.320
0.227 0.381 0.680
0.154 0.381 0.180
0.534 0.791 0.081
0.000 0.500 0.500
0.500 0.500 0.000
0.783 0.000 0.750
0.217 0.000 0.250
```

Calculated values
Crystal system: monoclinic
Energy: -66.08 eV per cell
Space group: C2/c, No. 15
Magnetic moment: 0.00 μB/f.u.
Formation energy from raw total energies: -129 kJ/mol of atoms


Density functional theory data (PBE) for a relaxed structure of CsSe2S6.

Cell and atoms, written as POSCAR:
```
CsSe2S6
1.0
15.599 0.000 0.000
-7.800 4.015 1.258
0.000 1.898 5.641
S Cs Se
6 1 2
direct
0.659 0.000 0.500
0.022 0.511 0.672
0.489 0.511 0.672
0.341 0.000 0.500
0.511 0.489 0.328
0.978 0.489 0.328
0.000 0.000 0.000
0.657 0.314 0.803
0.343 0.686 0.197
```

Calculated values
Crystal system: monoclinic
Energy: -33.36 eV per cell
Space group: C2/m, No. 12
Magnetic moment: 1.03 μB/f.u.
Formation energy from raw total energies: -8 kJ/mol of atoms


Density functional theory data (PBE) for a relaxed structure of Sb2PbAu.

Cell and atoms, written as POSCAR:
```
Sb2PbAu
1.0
-3.910 2.299 -4.818
-6.036 1.908 -1.929
-1.235 5.462 -0.169
Au Sb Pb
1 2 1
direct
0.451 0.451 0.713
0.828 0.828 0.555
0.029 0.029 0.974
0.192 0.192 0.259
```

Calculated values
Crystal system: monoclinic
Energy: -15.13 eV per cell
Space group: Cm, No. 8
Magnetic moment: 0.00 μB/f.u.
Formation energy from raw total energies: 2 kJ/mol of atoms


Density functional theory data (PBE) for a relaxed structure of LiCa2TlAs.

Cell and atoms, written as POSCAR:
```
LiCa2TlAs
1.0
-0.598 0.613 5.580
1.570 -5.369 0.758
4.598 1.392 0.339
Ca Li Tl As
2 1 1 1
direct
0.500 0.000 0.000
0.000 0.500 0.000
0.000 0.000 0.500
0.500 0.500 0.500
0.000 0.000 0.000
```

Calculated values
Crystal system: tetragonal
Energy: -15.57 eV per cell
Space group: P4/mmm, No. 123
Magnetic moment: 0.00 μB/f.u.
E_form: -51 kJ per mole of atoms


Density functional theory data (PBE) for a relaxed structure of Np2GaPt6.

Cell and atoms, written as POSCAR:
```
Np2GaPt6
1.0
-3.657 -0.151 -4.246
4.873 -2.652 -0.403
-1.620 -5.944 1.606
Ga Pt Np
1 6 2
direct
0.000 0.000 0.000
0.875 0.263 0.684
0.125 0.250 0.304
0.125 0.737 0.316
0.875 0.750 0.696
0.612 0.737 0.316
0.388 0.263 0.684
0.646 0.293 0.135
0.354 0.707 0.865
```

Calculated values
Crystal system: monoclinic
Energy: -70.66 eV per cell
Energy relative to the lowest polymorph listed for this composition: 13 kJ/mol of formula units
Space group: C2/m, No. 12
Magnetic moment: 7.39 μB/f.u.
E_form: -59 kJ per mole of atoms


Density functional theory data (PBE) for a relaxed structure of Al2NiMo2.

Cell and atoms, written as POSCAR:
```
Al2NiMo2
1.0
3.543 0.000 0.000
0.000 3.543 0.000
1.771 1.771 6.732
Ni Al Mo
1 2 2
direct
0.000 0.000 0.000
0.593 0.593 0.813
0.407 0.407 0.187
0.750 0.250 0.500
0.250 0.750 0.500
```

Calculated values
Crystal system: tetragonal
Energy: -32.79 eV per cell
Energy relative to the lowest polymorph listed for this composition: 212 kJ/mol of formula units
Space group: I4/mmm, No. 139
Magnetic moment: 0.00 μB/f.u.
E_form: 41 kJ per mole of atoms


Density functional theory data (PBE) for a relaxed structure of Sb2TeW.

Cell and atoms, written as POSCAR:
```
Sb2TeW
1.0
3.438 0.000 0.000
0.000 5.067 0.000
0.000 0.000 5.253
Sb Te W
2 1 1
direct
0.500 0.500 0.000
0.000 0.000 0.000
0.500 0.000 0.500
0.000 0.500 0.500
```

Calculated values
Crystal system: orthorhombic
Energy: -20.78 eV per cell
Space group: Pmmm, No. 47
Magnetic moment: 1.00 μB/f.u.
Formation energy from raw total energies: 86 kJ/mol of atoms


Density functional theory data (PBE) for a relaxed structure of KBaCa.

Cell and atoms, written as POSCAR:
```
KBaCa
1.0
-4.713 5.034 3.113
-7.025 -1.978 1.997
7.427 -1.191 0.821
K Ba Ca
1 1 1
direct
0.671 0.671 0.000
0.995 0.995 0.000
0.334 0.334 0.000
```

Calculated values
Crystal system: orthorhombic
Energy: -4.58 eV per cell
Energy relative to the lowest polymorph listed for this composition: 19 kJ/mol of formula units
Space group: Imm2, No. 44
Magnetic moment: 0.00 μB/f.u.
E_form: 14 kJ per mole of atoms


Density functional theory data (PBE) for a relaxed structure of B5C.

Cell and atoms, written as POSCAR:
```
B5C
1.0
1.983 -3.703 -4.512
7.364 -1.528 -3.631
-6.020 0.623 5.755
B C
10 2
direct
0.299 0.126 0.173
0.555 0.273 0.282
0.002 0.336 0.666
0.661 0.523 0.137
0.570 0.852 0.718
0.826 0.999 0.827
0.985 0.136 0.849
0.140 0.989 0.151
0.123 0.789 0.334
0.464 0.602 0.863
0.260 0.467 0.793
0.865 0.658 0.207
```

Calculated values
Crystal system: monoclinic
Energy: -80.89 eV per cell
Energy relative to the lowest polymorph listed for this composition: 95 kJ/mol of formula units
Space group: C2/m, No. 12
Magnetic moment: 0.00 μB/f.u.
E_form: 35 kJ per mole of atoms


Density functional theory data (PBE) for a relaxed structure of Er3Ga2Ge2.

Cell and atoms, written as POSCAR:
```
Er3Ga2Ge2
1.0
4.228 0.000 0.000
-2.114 4.911 -2.014
0.000 0.016 7.307
Ge Er Ga
2 3 2
direct
0.042 0.083 0.339
0.958 0.917 0.661
0.500 0.000 0.000
0.674 0.348 0.628
0.326 0.652 0.372
0.191 0.382 0.928
0.809 0.618 0.072
```

Calculated values
Crystal system: monoclinic
Energy: -33.95 eV per cell
Space group: C2/m, No. 12
Magnetic moment: 0.00 μB/f.u.
E_form: -69 kJ per mole of atoms


Density functional theory data (PBE) for a relaxed structure of GeIr2PdSe.

Cell and atoms, written as POSCAR:
```
GeIr2PdSe
1.0
4.908 0.000 0.000
0.000 4.512 0.000
0.000 0.000 4.908
Ir Pd Ge Se
2 1 1 1
direct
0.500 0.000 0.000
0.000 0.000 0.500
0.000 0.000 0.000
0.000 0.500 0.000
0.500 0.500 0.500
```

Calculated values
Crystal system: tetragonal
Energy: -23.49 eV per cell
Space group: P4/mmm, No. 123
Magnetic moment: 1.69 μB/f.u.
Formation energy from raw total energies: 145 kJ/mol of atoms


Density functional theory data (PBE) for a relaxed structure of CaBiRu2.

Cell and atoms, written as POSCAR:
```
CaBiRu2
1.0
-6.314 -0.728 4.172
-3.023 -4.470 -5.356
-3.464 -5.080 0.799
Ca Bi Ru
2 2 4
direct
0.250 0.750 0.500
0.500 0.500 0.000
0.750 0.250 0.500
0.000 0.000 0.000
0.375 0.334 0.750
0.084 0.625 0.250
0.875 0.916 0.750
0.666 0.125 0.250
```

Calculated values
Crystal system: tetragonal
Energy: -43.03 eV per cell
Space group: I-42d, No. 122
Magnetic moment: 0.00 μB/f.u.
E_form: 70 kJ per mole of atoms


Density functional theory data (PBE) for a relaxed structure of Hg2SbSe.

Cell and atoms, written as POSCAR:
```
Hg2SbSe
1.0
3.713 0.000 0.000
0.000 3.713 0.000
0.000 0.000 8.538
Sb Hg Se
1 2 1
direct
0.000 0.000 0.549
0.000 0.000 0.013
0.500 0.500 0.254
0.500 0.500 0.684
```

Calculated values
Crystal system: tetragonal
Energy: -8.09 eV per cell
Space group: P4mm, No. 99
Magnetic moment: 0.00 μB/f.u.
Formation energy from raw total energies: 3 kJ/mol of atoms


Density functional theory data (PBE) for a relaxed structure of LaYCoRu.

Cell and atoms, written as POSCAR:
```
LaYCoRu
1.0
-2.977 0.443 -3.857
1.845 -0.035 -4.530
-0.790 -3.834 -2.933
Y La Co Ru
1 1 1 1
direct
0.750 0.750 0.750
0.250 0.250 0.250
0.000 0.000 0.000
0.500 0.500 0.500
```

Calculated values
Crystal system: cubic
Energy: -28.13 eV per cell
Space group: F-43m, No. 216
Magnetic moment: 0.01 μB/f.u.
E_form: -9 kJ per mole of atoms


Density functional theory data (PBE) for a relaxed structure of MoIrSeBr2.

Cell and atoms, written as POSCAR:
```
MoIrSeBr2
1.0
5.254 0.000 0.000
0.000 5.254 0.000
0.000 0.000 4.722
Br Ir Se Mo
2 1 1 1
direct
0.500 0.000 0.000
0.000 0.500 0.000
0.000 0.000 0.000
0.000 0.000 0.500
0.500 0.500 0.500
```

Calculated values
Crystal system: tetragonal
Energy: -21.74 eV per cell
Energy relative to the lowest polymorph listed for this composition: 0 kJ/mol of formula units
Space group: P4/mmm, No. 123
Magnetic moment: 4.57 μB/f.u.
Formation energy from raw total energies: 92 kJ/mol of atoms


Density functional theory data (PBE) for a relaxed structure of SiIr3Cl.

Cell and atoms, written as POSCAR:
```
SiIr3Cl
1.0
4.528 0.000 0.000
0.000 4.528 0.000
0.000 0.000 4.528
Si Cl Ir
1 1 3
direct
0.000 0.000 0.000
0.500 0.500 0.500
0.500 0.000 0.000
0.000 0.000 0.500
0.000 0.500 0.000
```

Calculated values
Crystal system: cubic
Energy: -27.80 eV per cell
Energy relative to the lowest polymorph listed for this composition: 0 kJ/mol of formula units
Space group: Pm-3m, No. 221
Magnetic moment: 2.62 μB/f.u.
Formation energy from raw total energies: 117 kJ/mol of atoms


Density functional theory data (PBE) for a relaxed structure of MgRhBr.

Cell and atoms, written as POSCAR:
```
MgRhBr
1.0
0.000 3.120 3.120
3.120 0.000 3.120
3.120 3.120 0.000
Br Rh Mg
1 1 1
direct
0.250 0.250 0.250
0.500 0.500 0.500
0.750 0.750 0.750
```

Calculated values
Crystal system: cubic
Energy: -10.57 eV per cell
Energy relative to the lowest polymorph listed for this composition: 163 kJ/mol of formula units
Space group: F-43m, No. 216
Magnetic moment: 0.00 μB/f.u.
Formation energy from raw total energies: 2 kJ/mol of atoms


Density functional theory data (PBE) for a relaxed structure of PrScHgPt.

Cell and atoms, written as POSCAR:
```
PrScHgPt
1.0
5.084 0.000 0.000
2.542 4.403 0.000
2.542 1.468 4.151
Hg Pt Pr Sc
1 1 1 1
direct
0.750 0.750 0.750
0.250 0.250 0.250
0.500 0.500 0.500
0.000 0.000 0.000
```

Calculated values
Crystal system: cubic
Energy: -20.12 eV per cell
Space group: F-43m, No. 216
Magnetic moment: 0.00 μB/f.u.
E_form: -64 kJ per mole of atoms


Density functional theory data (PBE) for a relaxed structure of CsB2N.

Cell and atoms, written as POSCAR:
```
CsB2N
1.0
4.333 0.000 0.000
0.000 4.333 0.000
2.166 2.166 5.890
N Cs B
2 2 4
direct
0.500 0.500 0.000
0.250 0.750 0.500
0.750 0.250 0.500
0.000 0.000 0.000
0.375 0.625 0.750
0.375 0.125 0.250
0.375 0.625 0.250
0.875 0.625 0.750
```

Calculated values
Crystal system: tetragonal
Energy: -32.59 eV per cell
Space group: I4_1/amd, No. 141
Magnetic moment: 0.00 μB/f.u.
Formation energy from raw total energies: 150 kJ/mol of atoms


Density functional theory data (PBE) for a relaxed structure of Li2CaY2In2.

Cell and atoms, written as POSCAR:
```
Li2CaY2In2
1.0
4.914 0.000 0.000
2.457 4.256 0.000
2.457 1.419 9.110
In Li Y Ca
2 2 2 1
direct
0.745 0.745 0.766
0.255 0.255 0.234
0.601 0.601 0.196
0.399 0.399 0.804
0.129 0.129 0.614
0.871 0.871 0.386
0.000 0.000 0.000
```

Calculated values
Crystal system: trigonal
Energy: -25.86 eV per cell
Space group: R-3m, No. 166
Magnetic moment: 0.00 μB/f.u.
E_form: -22 kJ per mole of atoms


Density functional theory data (PBE) for a relaxed structure of FeCu6Pd8.

Cell and atoms, written as POSCAR:
```
FeCu6Pd8
1.0
-2.997 5.341 -0.929
-5.849 -1.377 1.505
-0.575 2.315 5.717
Pd Cu Fe
8 6 1
direct
0.062 0.839 0.374
0.938 0.161 0.626
0.839 0.374 0.062
0.161 0.626 0.938
0.626 0.938 0.161
0.756 0.756 0.756
0.244 0.244 0.244
0.374 0.062 0.839
0.202 0.443 0.593
0.407 0.798 0.557
0.443 0.593 0.202
0.593 0.202 0.443
0.557 0.407 0.798
0.798 0.557 0.407
0.000 0.000 0.000
```

Calculated values
Crystal system: trigonal
Energy: -73.45 eV per cell
Energy relative to the lowest polymorph listed for this composition: 0 kJ/mol of formula units
Space group: R-3, No. 148
Magnetic moment: 4.61 μB/f.u.
E_form: 7 kJ per mole of atoms


Density functional theory data (PBE) for a relaxed structure of Ba2LiPdO.

Cell and atoms, written as POSCAR:
```
Ba2LiPdO
1.0
5.522 0.000 0.000
0.000 5.522 0.000
0.000 0.000 4.053
Li Pd Ba O
1 1 2 1
direct
0.000 0.000 0.500
0.500 0.500 0.500
0.500 0.000 0.000
0.000 0.500 0.000
0.000 0.000 0.000
```

Calculated values
Crystal system: tetragonal
Energy: -21.82 eV per cell
Space group: P4/mmm, No. 123
Magnetic moment: 0.00 μB/f.u.
Formation energy from raw total energies: -114 kJ/mol of atoms


Density functional theory data (PBE) for a relaxed structure of NbFe4Si2.

Cell and atoms, written as POSCAR:
```
NbFe4Si2
1.0
-2.560 2.330 1.447
1.196 -2.522 6.178
4.809 4.677 0.979
Fe Si Nb
8 4 2
direct
0.000 0.352 0.094
0.000 0.094 0.352
0.000 0.648 0.906
0.500 0.406 0.852
0.500 0.852 0.406
0.000 0.906 0.648
0.500 0.148 0.594
0.500 0.594 0.148
0.500 0.285 0.285
0.000 0.215 0.785
0.000 0.785 0.215
0.500 0.715 0.715
0.000 0.500 0.500
0.500 0.000 0.000
```

Calculated values
Crystal system: tetragonal
Energy: -114.60 eV per cell
Space group: P4_2/mnm, No. 136
Magnetic moment: 4.97 μB/f.u.
Formation energy from raw total energies: -35 kJ/mol of atoms


Density functional theory data (PBE) for a relaxed structure of BaIn2Mo.

Cell and atoms, written as POSCAR:
```
BaIn2Mo
1.0
-5.170 -1.656 0.797
-1.622 -4.909 -1.838
-1.069 -4.043 3.552
Mo In Ba
1 2 1
direct
0.750 0.750 0.750
0.250 0.250 0.250
0.000 0.000 0.000
0.500 0.500 0.500
```

Calculated values
Crystal system: cubic
Energy: -15.56 eV per cell
Energy relative to the lowest polymorph listed for this composition: 167 kJ/mol of formula units
Space group: F-43m, No. 216
Magnetic moment: 4.28 μB/f.u.
E_form: 64 kJ per mole of atoms